Record 1
! SrCr2, optimized geometry, DFT PBE; values from VASP
! uncorrected energy = -19.4 eV per formula unit
! calculated formation energy = 0.49 eV per atom
! total moment = 0.00 μB per atom
&SYSTEM
  ibrav = 0, nat = 6, ntyp = 2
/
ATOMIC_SPECIES
Sr 87.62 Sr.upf
Cr 52.00 Cr.upf
ATOMIC_POSITIONS crystal
Sr 0.167 0.167 0.313
Sr 0.833 0.833 0.687
Cr 0.167 0.167 0.959
Cr 0.500 0.500 0.099
Cr 0.500 0.500 0.901
Cr 0.833 0.833 0.041
CELL_PARAMETERS angstrom
3.496 -2.020 0.000
3.496 2.020 0.000
-0.023 0.000 10.306

---

Record 2
! SrCr3, optimized geometry, DFT PBE; values from VASP
! uncorrected energy = -27.6 eV per formula unit
! calculated formation energy = 0.73 eV per atom
! total moment = 0.00 μB per atom
&SYSTEM
  ibrav = 0, nat = 8, ntyp = 2
/
ATOMIC_SPECIES
Sr 87.62 Sr.upf
Cr 52.00 Cr.upf
ATOMIC_POSITIONS crystal
Sr 0.250 0.250 0.104
Sr 0.750 0.750 0.896
Cr 0.250 0.020 0.586
Cr 0.250 0.480 0.586
Cr 0.250 0.750 0.344
Cr 0.750 0.250 0.656
Cr 0.750 0.520 0.414
Cr 0.750 0.980 0.414
CELL_PARAMETERS angstrom
4.166 0.000 0.000
0.000 5.426 0.000
0.000 0.000 7.022

---

Record 3
! SrCr, optimized geometry, DFT PBE; values from VASP
! uncorrected energy = -8.2 eV per formula unit
! calculated formation energy = 1.53 eV per atom
! total moment = 2.87 μB per atom
&SYSTEM
  ibrav = 0, nat = 2, ntyp = 2
/
ATOMIC_SPECIES
Sr 87.62 Sr.upf
Cr 52.00 Cr.upf
ATOMIC_POSITIONS crystal
Sr 0.000 0.000 0.000
Cr 0.250 0.250 0.250
CELL_PARAMETERS angstrom
0.000 3.770 3.770
3.770 0.000 3.770
3.770 3.770 0.000

---

Record 4
! SrCr, optimized geometry, DFT PBE; values from VASP
! uncorrected energy = -10.0 eV per formula unit
! calculated formation energy = 0.66 eV per atom
! total moment = 0.00 μB per atom
&SYSTEM
  ibrav = 0, nat = 4, ntyp = 2
/
ATOMIC_SPECIES
Sr 87.62 Sr.upf
Cr 52.00 Cr.upf
ATOMIC_POSITIONS crystal
Sr 0.091 0.091 0.091
Sr 0.909 0.909 0.909
Cr 0.333 0.333 0.333
Cr 0.667 0.667 0.667
CELL_PARAMETERS angstrom
1.930 1.114 8.991
-1.930 1.114 8.991
0.000 -2.228 8.991

---

Record 5
! SrCr3, optimized geometry, DFT PBE; values from VASP
! uncorrected energy = -27.0 eV per formula unit
! calculated formation energy = 0.89 eV per atom
! total moment = 0.36 μB per atom
&SYSTEM
  ibrav = 0, nat = 4, ntyp = 2
/
ATOMIC_SPECIES
Sr 87.62 Sr.upf
Cr 52.00 Cr.upf
ATOMIC_POSITIONS crystal
Sr 0.000 0.000 0.000
Cr 0.000 0.500 0.587
Cr 0.500 0.000 0.505
Cr 0.500 0.500 0.338
CELL_PARAMETERS angstrom
3.081 0.000 0.000
0.000 4.280 0.000
0.000 0.000 6.142

---

Record 6
! SrCr, optimized geometry, DFT PBE; values from VASP
! uncorrected energy = -9.7 eV per formula unit
! calculated formation energy = 0.81 eV per atom
! total moment = 2.45 μB per atom
&SYSTEM
  ibrav = 0, nat = 2, ntyp = 2
/
ATOMIC_SPECIES
Sr 87.62 Sr.upf
Cr 52.00 Cr.upf
ATOMIC_POSITIONS crystal
Sr 0.000 0.000 0.000
Cr 0.500 0.500 0.500
CELL_PARAMETERS angstrom
4.034 0.000 0.000
0.000 4.023 0.000
-0.007 0.000 4.055